1.
Here is HfSbPb3 after structural relaxation from Alexandria via LeMat-Bulk. Energies are from PBE-GGA.

Computed properties:
Energy relative to the elements, uncorrected ... 1.16 eV/atom

a b c (Å): 5.7190 5.7190 5.7190
angles (deg): 90.00 90.00 90.00
Closest atoms and distances in Å follow each position.
Positions (direct):
Pb 0.0000 0.5000 0.0000  2 Sb 2.86
Pb 0.0000 0.0000 0.5000  2 Sb 2.86
Pb 0.5000 0.0000 0.0000  2 Sb 2.86
Sb 0.0000 0.0000 0.0000  6 Pb 2.86
Hf 0.5000 0.5000 0.5000  12 Pb 4.04

***

2.
Here is K2CuPbF8 after structural relaxation from Alexandria via LeMat-Bulk. Energies are from PBE-GGA.

Computed properties:
Energy relative to the elements, uncorrected ... -2.17 eV/atom

a b c (Å): 4.9118 5.9091 7.5958
angles (deg): 97.85 85.84 96.13
Closest atoms and distances in Å follow each position.
Positions (direct):
K 0.4097 0.5183 0.7612  7 F 2.62-2.93
K 0.5903 0.4817 0.2388  7 F 2.62-2.93
Cu 0.0000 0.0000 0.0000  4 F 1.84-1.98
Pb 0.0000 0.0000 0.5000  6 F 2.08-2.21
F 0.1260 0.7108 0.3383  1 Pb 2.09
F 0.7389 0.7516 0.9958  1 Cu 1.84
F 0.8851 0.1061 0.2501  1 Cu 1.98, 1 Pb 2.21
F 0.8740 0.2892 0.6617  1 Pb 2.09
F 0.2611 0.2484 0.0042  1 Cu 1.84
F 0.1149 0.8939 0.7499  1 Cu 1.98, 1 Pb 2.21
F 0.6307 0.7982 0.5326  1 Pb 2.08
F 0.3693 0.2018 0.4674  1 Pb 2.08

***

3.
Here is LiTbAlZn after structural relaxation from Alexandria via LeMat-Bulk. Energies are from PBE-GGA.

Computed properties:
VASP energy ... -3.19 eV/atom

a b c (Å): 4.6988 4.6988 4.6988
angles (deg): 60.00 60.00 60.00
Closest atoms and distances in Å follow each position.
Positions (direct):
Zn 0.5000 0.5000 0.5000  4 Tb 2.88, 4 Al 2.88
Tb 0.2500 0.2500 0.2500  4 Li 2.88, 4 Zn 2.88
Al 0.7500 0.7500 0.7500  4 Zn 2.88, 4 Li 2.88
Li 0.0000 0.0000 0.0000  4 Al 2.88, 4 Tb 2.88